# 1
## InBiSeN2 (PBE-GGA)

Data for an optimized crystal structure of InBiSeN2.

Cell lengths 4.373, 4.373, 5.556 Å; angles 90.00, 90.00, 90.00 degrees
Fractional coordinates of all 5 atoms:
In1 0.000 0.000 0.000
Bi1 0.500 0.500 0.500
Se1 0.000 0.000 0.500
N1 0.000 0.500 0.000
N2 0.500 0.000 0.000

## Properties
Uncorrected formation energy (eV/atom): 1.2194
ΔE to the lowest computed polymorph (meV/atom): 0.0
Space-group type: P4/mmm (123)
Size of the total moment (μB/cell): 2.0

# 2
## InSnBiN2 (PBE-GGA)

Data for an optimized crystal structure of InSnBiN2.

Cell lengths 4.277, 4.277, 5.915 Å; angles 90.00, 90.00, 90.00 degrees
Fractional coordinates of all 5 atoms:
In1 0.000 0.000 0.000
Sn1 0.000 0.000 0.500
Bi1 0.500 0.500 0.000
N1 0.000 0.500 0.500
N2 0.500 0.000 0.500

## Properties
Uncorrected formation energy (eV/atom): 1.3132
Space-group type: P4/mmm (123)
Size of the total moment (μB/cell): 1.3

# 3
## Sr2InBiN (PBE-GGA)

Data for an optimized crystal structure of Sr2InBiN.

Cell lengths 5.347, 5.347, 4.699 Å; angles 90.00, 90.00, 90.00 degrees
Fractional coordinates of all 5 atoms:
Sr1 0.000 0.500 0.000
Sr2 0.500 0.000 0.000
In1 0.000 0.000 0.500
Bi1 0.500 0.500 0.500
N1 0.000 0.000 0.000

## Properties
Uncorrected formation energy (eV/atom): -0.5610
Space-group type: P4/mmm (123)
Size of the total moment (μB/cell): 0.0

# 4
## InBiTe2N (PBE-GGA)

Data for an optimized crystal structure of InBiTe2N.

Cell lengths 6.061, 6.061, 4.459 Å; angles 90.00, 90.00, 90.00 degrees
Fractional coordinates of all 5 atoms:
In1 0.000 0.000 0.000
Bi1 0.500 0.500 0.500
Te1 0.000 0.500 0.500
Te2 0.500 0.000 0.500
N1 0.500 0.500 0.000

## Properties
Uncorrected formation energy (eV/atom): 0.8169
ΔE to the lowest computed polymorph (meV/atom): 108.1
Space-group type: P4/mmm (123)
Size of the total moment (μB/cell): 2.1

# 5
## InBiTeN2 (PBE-GGA)

Data for an optimized crystal structure of InBiTeN2.

Cell lengths 4.432, 4.432, 6.444 Å; angles 90.00, 90.00, 90.00 degrees
Fractional coordinates of all 5 atoms:
In1 0.000 0.000 0.000
Bi1 0.500 0.500 0.500
Te1 0.500 0.500 0.000
N1 0.000 0.500 0.500
N2 0.500 0.000 0.500

## Properties
Uncorrected formation energy (eV/atom): 1.3279
ΔE to the lowest computed polymorph (meV/atom): 0.0
Space-group type: P4/mmm (123)
Size of the total moment (μB/cell): 1.8

# 6
## InBiTe2N (PBE-GGA)

Data for an optimized crystal structure of InBiTe2N.

Cell lengths 5.830, 5.830, 4.170 Å; angles 90.00, 90.00, 90.00 degrees
Fractional coordinates of all 5 atoms:
In1 0.000 0.000 0.000
Bi1 0.500 0.500 0.500
Te1 0.000 0.500 0.000
Te2 0.500 0.000 0.000
N1 0.000 0.000 0.500

## Properties
Uncorrected formation energy (eV/atom): 0.7087
ΔE to the lowest computed polymorph (meV/atom): 0.0
Space-group type: P4/mmm (123)
Size of the total moment (μB/cell): 1.6